Computed, not measured: crystalline LaRu2Br at its relaxed geometry at the GGA-PBEsol level of DFT.

## Properties
* spin magnetization: 0.000 μB/cell
* ρ: 8.03 g/cm3
* energy relative to the elements, uncorrected: -14 meV per atom
* D(E_F): 3.82 states/eV/f.u.

Structure (POSCAR):
```
LaRu2Br
1.0
-0.227 3.072 -1.409
-2.733 0.650 1.858
4.536 1.387 6.187
Br Ru La
1 2 1
Direct
0.707 0.000 0.523 Br
0.506 0.500 0.150 Ru
0.959 0.000 0.050 Ru
0.328 0.500 0.777 La
```